No. 1
Entry from Alexandria: a relaxed LiNb2P crystal (PBE-GGA).

**E**: -0.5077 Ry/atom

a = 6.9429 Å, b = 6.9429 Å, c = 5.4249 Å
α = 90.00°, β = 90.00°, γ = 90.00°
Space group I-42d (No. 122)
Symmetry-distinct sites (fractional):
Li  0.0000  0.0000  0.0000
Nb  0.2264  0.7500  0.6250
P  0.0000  0.0000  0.5000

***

No. 2
Entry from Alexandria: a relaxed LiNbP crystal (PBE-GGA).

**E**: -0.4734 Ry/atom

a = 3.9204 Å, b = 3.9204 Å, c = 6.7176 Å
α = 90.00°, β = 90.00°, γ = 90.00°
Space group P4/nmm (No. 129, origin choice 2)
Symmetry-distinct sites (fractional):
Li  0.2500  0.2500  0.1396
Nb  0.2500  0.7500  0.5000
P  0.2500  0.2500  0.7553

***

In the order shown, the computed energy relative to the elements values come out to -0.04 -0.64 eV per atom.